DFT (GGA-PBE) results for a geometry-optimized CrFePt structure.

a = 3.939 Å, b = 3.939 Å, c = 3.939 Å
α = 60.00°, β = 60.00°, γ = 60.00°
Sites, in units of the cell vectors:
Cr 0.000 0.000 0.000
Fe 0.750 0.750 0.750
Pt 0.250 0.250 0.250

Computed properties:
The energy above the lowest structure with this stoichiometry comes out at 455 meV per atom. The energy relative to the elements comes out at 0.334 eV/atom.